5
Lattice="4.277 0.000 0.000 0.000 4.277 0.000 0.000 0.000 4.048" Properties=species:S:1:pos:R:3 comment="AsWNF2 GGA+U relaxed" spacegroup=P4/mmm relative_energy_ev_per_fu=0.00 e_tot_ev_per_atom=-5.187 pbc="T T T"
As 0.000 0.000 0.000
W 2.139 2.139 2.024
N 2.139 2.139 0.000
F 0.000 2.139 2.024
F 2.139 0.000 2.024